1.
The following is a PBE-GGA calculation of a relaxed structure of Pa2Hg2Br7, from Alexandria.

POSCAR file:
```
Pa2Hg2Br7
1.0
9.160 -0.296 -0.391
-0.492 6.942 3.125
-0.543 -0.535 7.591
Pa Hg Br
2 2 7
direct
0.968 0.760 0.760
0.032 0.240 0.240
0.500 0.799 0.201
0.500 0.201 0.799
0.193 0.930 0.500
0.807 0.500 0.070
0.807 0.070 0.500
0.193 0.500 0.930
0.000 0.000 0.000
0.814 0.561 0.561
0.186 0.439 0.439
```

Summary:
ΔE_f (raw)	-1.060	eV/atom
N(E_F)	12.1	states/eV/cell
volume	45.07	Å³ per atom
space-group type	No. 12

2.
The following is a PBE-GGA calculation of a relaxed structure of RbMg3Ta, from Alexandria.

POSCAR file:
```
RbMg3Ta
1.0
-3.448 1.403 3.655
-3.667 0.550 -3.670
-1.372 -4.994 0.623
Mg Rb Ta
3 1 1
direct
0.000 0.500 0.000
0.000 0.000 0.500
0.500 0.000 0.000
0.000 0.000 0.000
0.500 0.500 0.500
```

Summary:
N(E_F)	3.1	states/eV/cell
energy relative to the elements	2.0927	eV per atom
volume	28.39	Å³ per atom
space-group type	No. 221
relative energy among the computed polymorphs	1150.1	meV per atom

3.
The following is a PBE-GGA calculation of a relaxed structure of CsScBi, from Alexandria.

POSCAR file:
```
CsScBi
1.0
3.495 3.494 -0.064
-3.495 3.494 -0.064
0.000 0.244 12.422
Cs Sc Bi
2 2 2
direct
0.250 0.250 0.200
0.750 0.750 0.800
0.750 0.250 0.500
0.250 0.750 0.500
0.250 0.250 0.639
0.750 0.750 0.361
```

Summary:
N(E_F)	4.5	states/eV/cell
energy relative to the elements	-0.4648	eV per atom
volume	50.59	Å³ per atom
space-group type	No. 12
relative energy among the computed polymorphs	0.0	meV per atom

4.
The following is a PBE-GGA calculation of a relaxed structure of SiB3C, from Alexandria.

POSCAR file:
```
SiB3C
1.0
-1.354 0.703 -2.473
-1.231 -2.426 -1.211
-4.447 -0.179 2.337
Si B C
1 3 1
direct
0.124 0.446 0.841
0.742 0.027 0.091
0.579 0.218 0.413
0.292 0.851 0.282
0.110 0.045 0.579
```

Summary:
ΔE_f (raw)	0.432	eV/atom
N(E_F)	0.5	states/eV/cell
volume	7.98	Å³ per atom
space-group type	No. 1
relative energy among the computed polymorphs	229.3	meV per atom

5.
The following is a PBE-GGA calculation of a relaxed structure of FeNiN, from Alexandria.

POSCAR file:
```
FeNiN
1.0
-2.096 -0.852 -1.638
0.550 -1.350 -2.383
-0.645 -4.971 1.029
Fe N Ni
1 1 1
direct
0.282 0.282 0.153
0.000 0.000 0.001
0.125 0.125 0.624
```

Summary:
ΔE_f (raw)	0.244	eV/atom
N(E_F)	4.3	states/eV/cell
volume	10.94	Å³ per atom
space-group type	No. 160
relative energy among the computed polymorphs	224.5	meV per atom

6.
The following is a PBE-GGA calculation of a relaxed structure of Al2Tl, from Alexandria.

POSCAR file:
```
Al2Tl
1.0
3.015 0.607 4.932
4.011 2.915 3.033
-5.106 4.743 3.086
Al Tl
4 2
direct
0.964 0.964 0.070
0.328 0.328 0.309
0.728 0.728 0.577
0.598 0.598 0.287
0.985 0.985 0.660
0.231 0.231 0.931
```

Summary:
N(E_F)	2.2	states/eV/cell
energy relative to the elements	0.2138	eV per atom
volume	22.35	Å³ per atom
space-group type	No. 8
relative energy among the computed polymorphs	37.4	meV per atom

Which of these has the highest N(E_F)?
Pa2Hg2Br7